This record from Alexandria via LeMat-Bulk describes an optimized crystal structure of RbLi2La. The functional is GGA-PBE.

Unit cell a=7.4086 b=7.4086 c=7.4086 alpha=104.65 beta=104.65 gamma=119.61
Fractional positions:
Rb (0.0000, 0.0000, 0.0000)
Rb (0.7500, 0.2500, 0.5000)
Li (0.1267, 0.6250, 0.0017)
Li (0.3750, 0.3767, 0.5017)
Li (0.6233, 0.1250, 0.9983)
Li (0.8750, 0.8733, 0.4983)
La (0.2500, 0.7500, 0.5000)
La (0.5000, 0.5000, 0.0000)

**DFT formation energy**: 0.54 eV/atom
**Electronic total energy**: -1.888 eV per atom
**Crystal system**: tetragonal

This record from Alexandria via LeMat-Bulk describes an optimized crystal structure of Pr5Sn5Hg2. The functional is GGA-PBE.

Unit cell a=7.6371 b=7.6371 c=12.9551 alpha=121.51 beta=121.51 gamma=34.85
Fractional positions:
Pr (0.0000, 0.0000, 0.0000)
Pr (0.3378, 0.3378, 0.4867)
Pr (0.3611, 0.3611, 0.2120)
Pr (0.6389, 0.6389, 0.7880)
Pr (0.6622, 0.6622, 0.5133)
Sn (0.0000, 0.0000, 0.5000)
Sn (0.0581, 0.0581, 0.2886)
Sn (0.3221, 0.3221, 0.9500)
Sn (0.6779, 0.6779, 0.0500)
Sn (0.9419, 0.9419, 0.7114)
Hg (0.3057, 0.3057, 0.7201)
Hg (0.6943, 0.6943, 0.2799)

**DFT formation energy**: -0.52 eV/atom
**Electronic total energy**: -4.229 eV per atom
**Crystal system**: monoclinic

This record from Alexandria via LeMat-Bulk describes an optimized crystal structure of LaHoPuTl. The functional is GGA-PBE.

Unit cell a=5.5503 b=5.5503 c=5.5503 alpha=60.00 beta=60.00 gamma=60.00
Fractional positions:
La (0.0000, 0.0000, 0.0000)
Ho (0.2500, 0.2500, 0.2500)
Pu (0.5000, 0.5000, 0.5000)
Tl (0.7500, 0.7500, 0.7500)

**DFT formation energy**: 0.06 eV/atom
**Electronic total energy**: -6.487 eV per atom
**Crystal system**: cubic

This record from Alexandria via LeMat-Bulk describes an optimized crystal structure of TmZr2Te6. The functional is GGA-PBE.

Unit cell a=7.0700 b=7.0700 c=12.4672 alpha=90.00 beta=90.00 gamma=90.00
Fractional positions:
Tm (0.0000, 0.0000, 0.0000)
Tm (0.5000, 0.5000, 0.5000)
Zr (0.0000, 0.0000, 0.3346)
Zr (0.0000, 0.0000, 0.6654)
Zr (0.5000, 0.5000, 0.1654)
Zr (0.5000, 0.5000, 0.8346)
Te (0.1993, 0.1993, 0.5000)
Te (0.2066, 0.2066, 0.1738)
Te (0.2066, 0.2066, 0.8262)
Te (0.2934, 0.7066, 0.3262)
Te (0.2934, 0.7066, 0.6738)
Te (0.3007, 0.6993, 0.0000)
Te (0.6993, 0.3007, 0.0000)
Te (0.7066, 0.2934, 0.3262)
Te (0.7066, 0.2934, 0.6738)
Te (0.7934, 0.7934, 0.1738)
Te (0.7934, 0.7934, 0.8262)
Te (0.8007, 0.8007, 0.5000)

**Electronic total energy**: -5.290 eV per atom
**Energy relative to the elements, uncorrected**: -800 meV/atom
**Crystal system**: tetragonal

This record from Alexandria via LeMat-Bulk describes an optimized crystal structure of KSr2Cl. The functional is GGA-PBE.

Unit cell a=5.3207 b=5.3207 c=7.0562 alpha=90.00 beta=90.00 gamma=90.00
Fractional positions:
K (0.0000, 0.0000, 0.0000)
Sr (0.0000, 0.5000, 0.5000)
Sr (0.5000, 0.0000, 0.5000)
Cl (0.5000, 0.5000, 0.0000)

**Electronic total energy**: -1.961 eV per atom
**Energy relative to the elements, uncorrected**: -384 meV/atom
**Crystal system**: tetragonal

This record from Alexandria via LeMat-Bulk describes an optimized crystal structure of SrSnS2N. The functional is GGA-PBE.

Unit cell a=5.1609 b=5.1609 c=4.1313 alpha=90.00 beta=90.00 gamma=90.00
Fractional positions:
Sr (0.0000, 0.0000, 0.0000)
Sn (0.5000, 0.5000, 0.5000)
S (0.0000, 0.5000, 0.5000)
S (0.5000, 0.0000, 0.5000)
N (0.5000, 0.5000, 0.0000)

**Electronic total energy**: -4.808 eV per atom
**Energy relative to the elements, uncorrected**: -355 meV/atom
**Crystal system**: tetragonal